The following is a DFT calculation (PBE with a Hubbard U) of crystalline Ac2VAgO6 at its relaxed geometry.

Output
As for the symmetry: P4mm (99). The value obtained for the electronic total energy is -7.15 eV/atom.

The structure in extended XYZ format:
```
10
Lattice="5.6272 0.0000 0.0000 0.0000 5.6272 0.0000 0.0000 0.0000 5.0182" Properties=species:S:1:pos:R:3 pbc="T T T"
Ac 0.0000 2.8136 0.0000
Ac 2.8136 0.0000 0.0000
V 0.0000 0.0000 2.9523
Ag 2.8136 2.8136 2.5725
O 0.0000 0.0000 1.1771
O 1.2412 1.2412 3.5485
O 1.2412 4.3860 3.5485
O 2.8136 2.8136 0.4145
O 4.3860 1.2412 3.5485
O 4.3860 4.3860 3.5485
```